Entry from Alexandria: a relaxed structure of VReSb (GGA-PBE).

Calculated values
D(E_F), states/eV/atom: 0.725
Volume, Å³ per atom: 19.4
Raw formation energy, meV per atom: -40

Cell and atoms, written as CIF:
```
data_VReSb
_cell_length_a 3.1537
_cell_length_b 3.1537
_cell_length_c 23.4387
_cell_angle_alpha 90.00
_cell_angle_beta 90.00
_cell_angle_gamma 90.00
_space_group_name_H-M_alt 'I 4/m m m'
_space_group_IT_number 139
_space_group_name_Hall '-I 4 2'
loop_
_atom_site_label
_atom_site_fract_x
_atom_site_fract_y
_atom_site_fract_z
V1 0.0000 0.0000 0.1591
Re1 0.0000 0.0000 0.2858
Sb1 0.0000 0.0000 0.4182
```

Entry from Alexandria: a relaxed structure of VReSb3 (GGA-PBE).

Calculated values
Energy above the most stable polymorph in this dataset, meV per atom: 0
D(E_F), states/eV/atom: 1.422
Volume, Å³ per atom: 28.0
Raw formation energy, meV per atom: 1066

Cell and atoms, written as CIF:
```
data_VReSb3
_cell_length_a 5.1897
_cell_length_b 5.1897
_cell_length_c 5.1897
_cell_angle_alpha 90.00
_cell_angle_beta 90.00
_cell_angle_gamma 90.00
_space_group_name_H-M_alt 'P m -3 m'
_space_group_IT_number 221
_space_group_name_Hall '-P 4 2 3'
loop_
_atom_site_label
_atom_site_fract_x
_atom_site_fract_y
_atom_site_fract_z
V1 0.0000 0.0000 0.0000
Re1 0.5000 0.5000 0.5000
Sb1 0.0000 0.5000 0.5000
```

Entry from Alexandria: a relaxed structure of V2ReSb (GGA-PBE).

Calculated values
D(E_F), states/eV/atom: 1.096
Volume, Å³ per atom: 17.7
Raw formation energy, meV per atom: 589

Cell and atoms, written as CIF:
```
data_V2ReSb
_cell_length_a 7.2005
_cell_length_b 7.2005
_cell_length_c 5.4768
_cell_angle_alpha 90.00
_cell_angle_beta 90.00
_cell_angle_gamma 90.00
_space_group_name_H-M_alt 'I -4 2 d'
_space_group_IT_number 122
_space_group_name_Hall 'I -4 2bw'
loop_
_atom_site_label
_atom_site_fract_x
_atom_site_fract_y
_atom_site_fract_z
V1 0.2025 0.2500 0.1250
Re1 0.0000 0.0000 0.0000
Sb1 0.0000 0.0000 0.5000
```

Entry from Alexandria: a relaxed structure of V2ReSb (GGA-PBE).

Calculated values
D(E_F), states/eV/atom: 1.163
Volume, Å³ per atom: 15.7
Raw formation energy, meV per atom: 97

Cell and atoms, written as CIF:
```
data_V2ReSb
_cell_length_a 3.2533
_cell_length_b 3.2533
_cell_length_c 5.9401
_cell_angle_alpha 90.00
_cell_angle_beta 90.00
_cell_angle_gamma 90.00
_space_group_name_H-M_alt 'P 4/m m m'
_space_group_IT_number 123
_space_group_name_Hall '-P 4 2'
loop_
_atom_site_label
_atom_site_fract_x
_atom_site_fract_y
_atom_site_fract_z
V1 0.0000 0.0000 0.2348
Re1 0.5000 0.5000 0.0000
Sb1 0.5000 0.5000 0.5000
```

Entry from Alexandria: a relaxed structure of ReSbW2 (GGA-PBE).

Calculated values
D(E_F), states/eV/atom: 0.694
Volume, Å³ per atom: 17.2
Raw formation energy, meV per atom: 442

Cell and atoms, written as CIF:
```
data_ReSbW2
_cell_length_a 3.0432
_cell_length_b 3.0432
_cell_length_c 7.4126
_cell_angle_alpha 90.00
_cell_angle_beta 90.00
_cell_angle_gamma 90.00
_space_group_name_H-M_alt 'P 4/m m m'
_space_group_IT_number 123
_space_group_name_Hall '-P 4 2'
loop_
_atom_site_label
_atom_site_fract_x
_atom_site_fract_y
_atom_site_fract_z
Re1 0.0000 0.0000 0.0000
Sb1 0.0000 0.0000 0.5000
W1 0.5000 0.5000 0.2266
```

Entry from Alexandria: a relaxed structure of ReSbW2 (GGA-PBE).

Calculated values
D(E_F), states/eV/atom: 0.688
Volume, Å³ per atom: 16.7
Raw formation energy, meV per atom: 506

Cell and atoms, written as CIF:
```
data_ReSbW2
_cell_length_a 3.2740
_cell_length_b 4.4193
_cell_length_c 9.2429
_cell_angle_alpha 90.00
_cell_angle_beta 90.00
_cell_angle_gamma 90.00
_space_group_name_H-M_alt 'I m m 2'
_space_group_IT_number 44
loop_
_space_group_symop_operation_xyz
'x,y,z'
'-x,-y,z'
'-x,y,z'
'x,-y,z'
'x+1/2,y+1/2,z+1/2'
'-x+1/2,-y+1/2,z+1/2'
'-x+1/2,y+1/2,z+1/2'
'x+1/2,-y+1/2,z+1/2'
loop_
_atom_site_label
_atom_site_fract_x
_atom_site_fract_y
_atom_site_fract_z
Re1 0.0000 0.0000 0.0000
Sb1 0.0000 0.5000 0.7445
W1 0.0000 0.0000 0.4949
W2 0.0000 0.5000 0.2478
```

Entry from Alexandria: a relaxed structure of ReSbW2 (GGA-PBE).

Calculated values
D(E_F), states/eV/atom: 0.962
Volume, Å³ per atom: 16.8
Raw formation energy, meV per atom: 630

Cell and atoms, written as CIF:
```
data_ReSbW2
_cell_length_a 3.9596
_cell_length_b 3.9596
_cell_length_c 8.5797
_cell_angle_alpha 90.00
_cell_angle_beta 90.00
_cell_angle_gamma 90.00
_space_group_name_H-M_alt 'I -4 m 2'
_space_group_IT_number 119
_space_group_name_Hall 'I -4 -2'
loop_
_atom_site_label
_atom_site_fract_x
_atom_site_fract_y
_atom_site_fract_z
Re1 0.0000 0.0000 0.0000
Sb1 0.0000 0.5000 0.7500
W1 0.0000 0.0000 0.5000
W2 0.0000 0.5000 0.2500
```

Entry from Alexandria: a relaxed structure of ReSbW2 (GGA-PBE).

Calculated values
D(E_F), states/eV/atom: 0.329
Volume, Å³ per atom: 17.3
Raw formation energy, meV per atom: 518

Cell and atoms, written as CIF:
```
data_ReSbW2
_cell_length_a 2.9434
_cell_length_b 2.9434
_cell_length_c 27.6015
_cell_angle_alpha 90.00
_cell_angle_beta 90.00
_cell_angle_gamma 120.00
_space_group_name_H-M_alt 'R -3 m'
_space_group_IT_number 166
_space_group_name_Hall '-R 3 2"'
loop_
_atom_site_label
_atom_site_fract_x
_atom_site_fract_y
_atom_site_fract_z
Re1 0.0000 0.0000 0.0000
Sb1 0.0000 0.0000 0.5000
W1 0.0000 0.0000 0.2550
```

Entry from Alexandria: a relaxed structure of ReSb2W (GGA-PBE).

Calculated values
Energy above the most stable polymorph in this dataset, meV per atom: 777
D(E_F), states/eV/atom: 1.222
Volume, Å³ per atom: 19.2
Raw formation energy, meV per atom: 1024

Cell and atoms, written as CIF:
```
data_ReSb2W
_cell_length_a 3.2869
_cell_length_b 5.3175
_cell_length_c 8.7849
_cell_angle_alpha 90.00
_cell_angle_beta 90.00
_cell_angle_gamma 90.00
_space_group_name_H-M_alt 'C m m m'
_space_group_IT_number 65
_space_group_name_Hall '-C 2 2'
loop_
_atom_site_label
_atom_site_fract_x
_atom_site_fract_y
_atom_site_fract_z
Re1 0.0000 0.0000 0.0000
Sb1 0.0000 0.5000 0.2462
W1 0.0000 0.0000 0.5000
```

Entry from Alexandria: a relaxed structure of Re2SbW (GGA-PBE).

Calculated values
D(E_F), states/eV/atom: 0.758
Volume, Å³ per atom: 16.7
Raw formation energy, meV per atom: 436

Cell and atoms, written as CIF:
```
data_Re2SbW
_cell_length_a 3.0436
_cell_length_b 3.0436
_cell_length_c 7.2108
_cell_angle_alpha 90.00
_cell_angle_beta 90.00
_cell_angle_gamma 90.00
_space_group_name_H-M_alt 'P 4 m m'
_space_group_IT_number 99
loop_
_space_group_symop_operation_xyz
'x,y,z'
'-y,x,z'
'-x,-y,z'
'y,-x,z'
'-x,y,z'
'y,x,z'
'x,-y,z'
'-y,-x,z'
loop_
_atom_site_label
_atom_site_fract_x
_atom_site_fract_y
_atom_site_fract_z
Re1 0.0000 0.0000 0.0000
Re2 0.5000 0.5000 0.2276
Sb1 0.0000 0.0000 0.4907
W1 0.5000 0.5000 0.7607
```

Entry from Alexandria: a relaxed structure of ReSbW2 (GGA-PBE).

Calculated values
D(E_F), states/eV/atom: 0.758
Volume, Å³ per atom: 17.1
Raw formation energy, meV per atom: 518

Cell and atoms, written as CIF:
```
data_ReSbW2
_cell_length_a 9.4947
_cell_length_b 3.1288
_cell_length_c 4.7774
_cell_angle_alpha 90.00
_cell_angle_beta 106.01
_cell_angle_gamma 90.00
_space_group_name_H-M_alt 'C 1 m 1'
_space_group_IT_number 8
loop_
_space_group_symop_operation_xyz
'x,y,z'
'x,-y,z'
'x+1/2,y+1/2,z'
'x+1/2,-y+1/2,z'
loop_
_atom_site_label
_atom_site_fract_x
_atom_site_fract_y
_atom_site_fract_z
Re1 0.0000 0.0000 0.0000
Sb1 0.2583 0.5000 0.3270
W1 0.0137 0.5000 0.5236
W2 0.2690 0.0000 0.8454
```

Entry from Alexandria: a relaxed structure of Re2SbW (GGA-PBE).

Calculated values
D(E_F), states/eV/atom: 0.627
Volume, Å³ per atom: 16.4
Raw formation energy, meV per atom: 553

Cell and atoms, written as CIF:
```
data_Re2SbW
_cell_length_a 3.1513
_cell_length_b 4.5613
_cell_length_c 9.1235
_cell_angle_alpha 90.00
_cell_angle_beta 90.00
_cell_angle_gamma 90.00
_space_group_name_H-M_alt 'I m m m'
_space_group_IT_number 71
_space_group_name_Hall '-I 2 2'
loop_
_atom_site_label
_atom_site_fract_x
_atom_site_fract_y
_atom_site_fract_z
Re1 0.0000 0.0000 0.2398
Sb1 0.0000 0.5000 0.5000
W1 0.0000 0.5000 0.0000
```

> Which of these has the highest raw formation energy?

VReSb3

> Among the records above, which one has the highest volume?

VReSb3